The following is a DFT calculation (GGA-PBE) of a geometry-optimized BaPrAu2 structure.

Calculated total energy   -0.1473 Ha/atom
Spin magnetization   0.001 μB per atom

```
BaPrAu2
1.0
6.166 0.000 0.000
0.000 4.953 0.000
-0.626 0.000 7.741
Au Ba Pr
4 2 2
Direct
0.127 0.250 0.053
0.667 0.750 0.475
0.333 0.250 0.525
0.873 0.750 0.947
0.641 0.250 0.187
0.359 0.750 0.813
0.137 0.750 0.323
0.863 0.250 0.677
```